# PBE Tb5Nd3O12, optimized geometry
# Mass density in g/cm³: 7.30
# Total moment in μB/f.u.: 0.0
# Uncorrected formation energy in eV per formula unit: -66.34
# Total DFT energy (no corrections) in eV per atom: -8.165
data_Tb5Nd3O12
_space_group_name_H-M_alt 'I a -3 d'
_space_group_IT_number 230
_space_group_name_Hall '-I 4bd 2c 3'
_cell_length_a 13.7232
_cell_length_b 13.7232
_cell_length_c 13.7232
_cell_angle_alpha 90.00
_cell_angle_beta 90.00
_cell_angle_gamma 90.00
loop_
_atom_site_label
_atom_site_fract_x
_atom_site_fract_y
_atom_site_fract_z
Tb1 0.0000 0.0000 0.0000
Tb2 0.0000 0.2500 0.3750
Nd1 0.0000 0.2500 0.1250
O1 0.0223 0.0646 0.6527